<i>
A geometry-optimized Ba5Sr structure, computed with PBE.

Computed properties:
Its crystal system is tetragonal. The value obtained for the calculated density is 3.42 Mg/m³. For the volume, the calculation gives 375.6 Å³ per cell.

```
data_Ba5Sr
_space_group_name_H-M_alt 'P 1'
_space_group_IT_number 1
_space_group_name_Hall 'P 1'
_cell_length_a 4.4769
_cell_length_b 4.4769
_cell_length_c 18.7417
_cell_angle_alpha 90.00
_cell_angle_beta 90.00
_cell_angle_gamma 90.00
loop_
_atom_site_label
_atom_site_fract_x
_atom_site_fract_y
_atom_site_fract_z
Ba1 0.0000 0.0000 0.0000
Ba2 0.0000 0.0000 0.3407
Ba3 0.0000 0.0000 0.6593
Ba4 0.5000 0.5000 0.1707
Ba5 0.5000 0.5000 0.8293
Sr1 0.5000 0.5000 0.5000
```


<ii>
A geometry-optimized Ba5Sr structure, computed with PBE.

Computed properties:
Its crystal system is orthorhombic. The value obtained for the calculated density is 3.48 Mg/m³. For the volume, the calculation gives 369.4 Å³ per cell.

```
data_Ba5Sr
_space_group_name_H-M_alt 'P 1'
_space_group_IT_number 1
_space_group_name_Hall 'P 1'
_cell_length_a 11.1071
_cell_length_b 11.1071
_cell_length_c 4.9905
_cell_angle_alpha 90.00
_cell_angle_beta 90.00
_cell_angle_gamma 143.13
loop_
_atom_site_label
_atom_site_fract_x
_atom_site_fract_y
_atom_site_fract_z
Ba1 0.0000 0.0000 0.0000
Ba2 0.1662 0.8338 0.5000
Ba3 0.3342 0.6658 0.0000
Ba4 0.6658 0.3342 0.0000
Ba5 0.8338 0.1662 0.5000
Sr1 0.5000 0.5000 0.5000
```


Least stable: <i>


<i>
A geometry-optimized BaSrTa2 structure, computed with PBE.

Computed properties:
Its crystal system is monoclinic. The value obtained for the calculated density is 7.01 Mg/m³. For the volume, the calculation gives 138.9 Å³ per cell.

```
data_BaSrTa2
_space_group_name_H-M_alt 'P 1'
_space_group_IT_number 1
_space_group_name_Hall 'P 1'
_cell_length_a 4.8558
_cell_length_b 4.8558
_cell_length_c 9.0773
_cell_angle_alpha 92.87
_cell_angle_beta 92.87
_cell_angle_gamma 40.55
loop_
_atom_site_label
_atom_site_fract_x
_atom_site_fract_y
_atom_site_fract_z
Ba1 0.0000 0.0000 0.0000
Sr1 0.2324 0.2324 0.5909
Ta1 0.4864 0.4864 0.3382
Ta2 0.7560 0.7560 0.2706
```


<ii>
A geometry-optimized BaSrTa2 structure, computed with PBE.

Computed properties:
Its crystal system is tetragonal. The value obtained for the calculated density is 8.27 Mg/m³. For the volume, the calculation gives 235.8 Å³ per cell.

```
data_BaSrTa2
_space_group_name_H-M_alt 'P 1'
_space_group_IT_number 1
_space_group_name_Hall 'P 1'
_cell_length_a 6.9837
_cell_length_b 6.9837
_cell_length_c 6.9837
_cell_angle_alpha 100.18
_cell_angle_beta 100.18
_cell_angle_gamma 130.28
loop_
_atom_site_label
_atom_site_fract_x
_atom_site_fract_y
_atom_site_fract_z
Ba1 0.0000 0.0000 0.0000
Ba2 0.7500 0.2500 0.5000
Sr1 0.2500 0.7500 0.5000
Sr2 0.5000 0.5000 0.0000
Ta1 0.1220 0.6250 0.9970
Ta2 0.3750 0.3720 0.4970
Ta3 0.6280 0.1250 0.0030
Ta4 0.8750 0.8780 0.5030
```


<iii>
A geometry-optimized BaSrTa2 structure, computed with PBE.

Computed properties:
Its crystal system is cubic. The value obtained for the calculated density is 8.81 Mg/m³. For the volume, the calculation gives 110.7 Å³ per cell.

```
data_BaSrTa2
_space_group_name_H-M_alt 'P 1'
_space_group_IT_number 1
_space_group_name_Hall 'P 1'
_cell_length_a 5.3888
_cell_length_b 5.3888
_cell_length_c 5.3888
_cell_angle_alpha 60.00
_cell_angle_beta 60.00
_cell_angle_gamma 60.00
loop_
_atom_site_label
_atom_site_fract_x
_atom_site_fract_y
_atom_site_fract_z
Ba1 0.0000 0.0000 0.0000
Sr1 0.5000 0.5000 0.5000
Ta1 0.2500 0.2500 0.2500
Ta2 0.7500 0.7500 0.7500
```


Least stable: <ii>


<i>
A geometry-optimized BaSrTa2 structure, computed with PBE.

Computed properties:
Its crystal system is monoclinic. The value obtained for the calculated density is 7.77 Mg/m³. For the volume, the calculation gives 125.4 Å³ per cell.

```
data_BaSrTa2
_space_group_name_H-M_alt 'P 1'
_space_group_IT_number 1
_space_group_name_Hall 'P 1'
_cell_length_a 6.0642
_cell_length_b 6.0642
_cell_length_c 6.8164
_cell_angle_alpha 93.75
_cell_angle_beta 93.75
_cell_angle_gamma 30.11
loop_
_atom_site_label
_atom_site_fract_x
_atom_site_fract_y
_atom_site_fract_z
Ba1 0.0000 0.0000 0.0000
Sr1 0.5000 0.5000 0.5000
Ta1 0.2453 0.2453 0.6616
Ta2 0.7547 0.7547 0.3384
```


<ii>
A geometry-optimized BaSrTa2 structure, computed with PBE.

Computed properties:
Its crystal system is monoclinic. The value obtained for the calculated density is 9.16 Mg/m³. For the volume, the calculation gives 106.4 Å³ per cell.

```
data_BaSrTa2
_space_group_name_H-M_alt 'P 1'
_space_group_IT_number 1
_space_group_name_Hall 'P 1'
_cell_length_a 6.4437
_cell_length_b 6.4437
_cell_length_c 3.0677
_cell_angle_alpha 90.24
_cell_angle_beta 90.24
_cell_angle_gamma 123.36
loop_
_atom_site_label
_atom_site_fract_x
_atom_site_fract_y
_atom_site_fract_z
Ba1 0.0000 0.0000 0.0000
Sr1 0.5000 0.5000 0.0000
Ta1 0.0000 0.5000 0.5000
Ta2 0.5000 0.0000 0.5000
```


Least stable: <ii>


<i>
A geometry-optimized BaSrTa2 structure, computed with PBE.

Computed properties:
Its crystal system is tetragonal. The value obtained for the calculated density is 8.00 Mg/m³. For the volume, the calculation gives 121.8 Å³ per cell.

```
data_BaSrTa2
_space_group_name_H-M_alt 'P 1'
_space_group_IT_number 1
_space_group_name_Hall 'P 1'
_cell_length_a 4.1536
_cell_length_b 4.1536
_cell_length_c 7.0625
_cell_angle_alpha 90.00
_cell_angle_beta 90.00
_cell_angle_gamma 90.00
loop_
_atom_site_label
_atom_site_fract_x
_atom_site_fract_y
_atom_site_fract_z
Ba1 0.0000 0.0000 0.0000
Sr1 0.0000 0.0000 0.5000
Ta1 0.5000 0.5000 0.1818
Ta2 0.5000 0.5000 0.8182
```


<ii>
A geometry-optimized BaSrTa2 structure, computed with PBE.

Computed properties:
Its crystal system is monoclinic. The value obtained for the calculated density is 7.44 Mg/m³. For the volume, the calculation gives 130.9 Å³ per cell.

```
data_BaSrTa2
_space_group_name_H-M_alt 'P 1'
_space_group_IT_number 1
_space_group_name_Hall 'P 1'
_cell_length_a 3.1728
_cell_length_b 5.8582
_cell_length_c 7.1568
_cell_angle_alpha 90.00
_cell_angle_beta 100.14
_cell_angle_gamma 90.00
loop_
_atom_site_label
_atom_site_fract_x
_atom_site_fract_y
_atom_site_fract_z
Ba1 0.0000 0.0000 0.0000
Sr1 0.0000 0.0000 0.5000
Ta1 0.3729 0.5000 0.6523
Ta2 0.6271 0.5000 0.3477
```


Least stable: <i>


<i>
A geometry-optimized BaSrTa2 structure, computed with PBE.

Computed properties:
Its crystal system is orthorhombic. The value obtained for the calculated density is 9.23 Mg/m³. For the volume, the calculation gives 105.5 Å³ per cell.

```
data_BaSrTa2
_space_group_name_H-M_alt 'P 1'
_space_group_IT_number 1
_space_group_name_Hall 'P 1'
_cell_length_a 4.3111
_cell_length_b 4.3539
_cell_length_c 5.6217
_cell_angle_alpha 90.00
_cell_angle_beta 90.00
_cell_angle_gamma 90.00
loop_
_atom_site_label
_atom_site_fract_x
_atom_site_fract_y
_atom_site_fract_z
Ba1 0.0000 0.0000 0.0000
Sr1 0.5000 0.5000 0.0000
Ta1 0.0000 0.5000 0.5000
Ta2 0.5000 0.0000 0.5000
```


<ii>
A geometry-optimized BaSrTa2 structure, computed with PBE.

Computed properties:
Its crystal system is cubic. The value obtained for the calculated density is 9.09 Mg/m³. For the volume, the calculation gives 107.2 Å³ per cell.

```
data_BaSrTa2
_space_group_name_H-M_alt 'P 1'
_space_group_IT_number 1
_space_group_name_Hall 'P 1'
_cell_length_a 5.3313
_cell_length_b 5.3313
_cell_length_c 5.3313
_cell_angle_alpha 60.00
_cell_angle_beta 60.00
_cell_angle_gamma 60.00
loop_
_atom_site_label
_atom_site_fract_x
_atom_site_fract_y
_atom_site_fract_z
Ba1 0.0000 0.0000 0.0000
Sr1 0.2500 0.2500 0.2500
Ta1 0.5000 0.5000 0.5000
Ta2 0.7500 0.7500 0.7500
```


<iii>
A geometry-optimized BaSrTa2 structure, computed with PBE.

Computed properties:
Its crystal system is orthorhombic. The value obtained for the calculated density is 7.85 Mg/m³. For the volume, the calculation gives 124.1 Å³ per cell.

```
data_BaSrTa2
_space_group_name_H-M_alt 'P 1'
_space_group_IT_number 1
_space_group_name_Hall 'P 1'
_cell_length_a 6.8283
_cell_length_b 6.8283
_cell_length_c 6.8283
_cell_angle_alpha 150.69
_cell_angle_beta 126.54
_cell_angle_gamma 62.14
loop_
_atom_site_label
_atom_site_fract_x
_atom_site_fract_y
_atom_site_fract_z
Ba1 0.0000 0.0000 0.0000
Sr1 0.2998 0.7998 0.5000
Ta1 0.5704 0.5704 0.0000
Ta2 0.7328 0.2328 0.5000
```


<iv>
A geometry-optimized BaSrTa2 structure, computed with PBE.

Computed properties:
Its crystal system is tetragonal. The value obtained for the calculated density is 8.56 Mg/m³. For the volume, the calculation gives 113.9 Å³ per cell.

```
data_BaSrTa2
_space_group_name_H-M_alt 'P 1'
_space_group_IT_number 1
_space_group_name_Hall 'P 1'
_cell_length_a 6.0681
_cell_length_b 6.0681
_cell_length_c 3.0922
_cell_angle_alpha 90.00
_cell_angle_beta 90.00
_cell_angle_gamma 90.00
loop_
_atom_site_label
_atom_site_fract_x
_atom_site_fract_y
_atom_site_fract_z
Ba1 0.0000 0.0000 0.0000
Sr1 0.5000 0.5000 0.0000
Ta1 0.0000 0.5000 0.5000
Ta2 0.5000 0.0000 0.5000
```


Least stable: <iv>